# 1
This record from OQMD via LeMat-Bulk describes crystalline TaCuBiPd at its relaxed geometry. The functional is PBE.

Results
volume = 18.4 A^3/atom
energy above the most stable polymorph in this dataset = 53 meV/atom
theoretical density = 12.663 g/cm3
magnetic moment = 0.6 μB per cell

```
TaCuBiPd
1.0
0.000 3.323 3.323
3.323 0.000 3.323
3.323 3.323 0.000
Ta Cu Bi Pd
1 1 1 1
Cartesian
0.000 0.000 0.000
4.985 4.985 4.985
3.323 3.323 3.323
1.662 1.662 1.662
```

# 2
This record from OQMD via LeMat-Bulk describes crystalline TaCuBiPd at its relaxed geometry. The functional is PBE.

Results
volume = 18.3 A^3/atom
energy above the most stable polymorph in this dataset = 0 meV/atom
theoretical density = 12.736 g/cm3
magnetic moment = 0.1 μB per cell

```
TaCuBiPd
1.0
0.000 3.317 3.317
3.317 0.000 3.317
3.317 3.317 0.000
Ta Cu Bi Pd
1 1 1 1
Cartesian
0.000 0.000 0.000
3.317 3.317 3.317
1.659 1.659 1.659
4.976 4.976 4.976
```

# 3
This record from OQMD via LeMat-Bulk describes crystalline ZnCuBiPd at its relaxed geometry. The functional is PBE.

Results
volume = 17.9 A^3/atom
energy above the most stable polymorph in this dataset = 0 meV/atom
theoretical density = 10.317 g/cm3

```
ZnCuBiPd
1.0
0.000 3.295 3.295
3.295 0.000 3.295
3.295 3.295 0.000
Zn Cu Bi Pd
1 1 1 1
Cartesian
0.000 0.000 0.000
1.647 1.647 1.647
3.295 3.295 3.295
4.942 4.942 4.942
```

Copy entry 3 word for word.
This record from OQMD via LeMat-Bulk describes crystalline ZnCuBiPd at its relaxed geometry. The functional is PBE.

Results
volume = 17.9 A^3/atom
energy above the most stable polymorph in this dataset = 0 meV/atom
theoretical density = 10.317 g/cm3

```
ZnCuBiPd
1.0
0.000 3.295 3.295
3.295 0.000 3.295
3.295 3.295 0.000
Zn Cu Bi Pd
1 1 1 1
Cartesian
0.000 0.000 0.000
1.647 1.647 1.647
3.295 3.295 3.295
4.942 4.942 4.942
```